# 1
{
  "formula": "LaCe3Pm2S6",
  "functional": "GGA-PBE",
  "state": "relaxed",
  "lattice": [[-5.483, -0.944, 4.274], [6.478, -1.550, 2.204], [0.374, 7.018, 0.107]],
  "species": ["La", "Ce", "Ce", "Ce", "Pm", "Pm", "S", "S", "S", "S", "S", "S"],
  "frac_coords": [[0.000, 0.000, 0.000], [0.165, 0.835, 0.500], [0.835, 0.165, 0.500], [0.500, 0.500, 0.500], [0.333, 0.667, 0.000], [0.667, 0.333, 0.000], [0.916, 0.578, 0.747], [0.746, 0.746, 0.251], [0.084, 0.422, 0.253], [0.578, 0.916, 0.747], [0.254, 0.254, 0.749], [0.422, 0.084, 0.253]],
  "m_tot_mub_per_atom": 0.2102,
  "formation_energy_uncorrected_kj_per_mol_atoms": -199
}

=====

# 2
{
  "formula": "La3CePm3S8",
  "functional": "GGA-PBE",
  "state": "relaxed",
  "lattice": [[-3.385, 7.345, 0.909], [-3.385, -6.506, 3.529], [7.124, 2.931, 2.851]],
  "species": ["La", "La", "La", "Ce", "Pm", "Pm", "Pm", "S", "S", "S", "S", "S", "S", "S", "S"],
  "frac_coords": [[0.000, 0.000, 0.000], [0.000, 0.500, 0.000], [0.500, 0.500, 0.000], [0.000, 0.000, 0.500], [0.500, 0.000, 0.500], [0.500, 0.500, 0.500], [0.000, 0.500, 0.500], [0.253, 0.505, 0.258], [0.747, 0.495, 0.742], [0.753, 0.505, 0.258], [0.247, 0.495, 0.742], [0.753, 0.005, 0.258], [0.247, 0.995, 0.742], [0.253, 0.005, 0.258], [0.747, 0.995, 0.742]],
  "m_tot_mub_per_atom": 0.1001,
  "formation_energy_uncorrected_kj_per_mol_atoms": -201
}

=====

# 3
{
  "formula": "La3Ce2PmS6",
  "functional": "GGA-PBE",
  "state": "relaxed",
  "lattice": [[7.082, -0.004, -0.002], [-3.542, 6.132, -0.002], [-1.183, -2.048, 6.704]],
  "species": ["La", "La", "La", "Ce", "Ce", "Pm", "S", "S", "S", "S", "S", "S"],
  "frac_coords": [[0.166, 0.834, 0.500], [0.834, 0.166, 0.500], [0.500, 0.500, 0.500], [0.333, 0.667, 0.000], [0.667, 0.333, 0.000], [0.000, 0.000, 0.000], [0.920, 0.586, 0.758], [0.746, 0.746, 0.241], [0.080, 0.414, 0.242], [0.586, 0.920, 0.758], [0.254, 0.254, 0.759], [0.414, 0.080, 0.242]],
  "m_tot_mub_per_atom": 0.1314,
  "formation_energy_uncorrected_kj_per_mol_atoms": -203
}